Record 1
{"formula": "Be5Pt4", "functional": "GGA-PBEsol", "state": "optimized geometry", "lattice": [[3.590, 0.000, 0.000], [1.795, 5.320, 0.000], [1.795, 0.000, 5.320]], "species": ["Pt", "Pt", "Pt", "Pt", "Be", "Be", "Be", "Be", "Be"], "fractional_positions": [[0.000, 0.707, 0.293], [0.707, 0.293, 0.293], [0.293, 0.707, 0.707], [0.000, 0.293, 0.707], [0.000, 0.000, 0.000], [0.327, 0.346, 0.000], [0.673, 0.654, 0.000], [0.673, 0.000, 0.654], [0.327, 0.000, 0.346]], "vol_a3_per_cell": 101.6, "n_ef_per_ev_cell": 2.53, "dft_energy_ev_per_cell": -53.1, "m_tot_mub_per_atom": 0.00, "sg": "No. 139"}

=====

Record 2
{"formula": "VPbClO3", "functional": "GGA-PBEsol", "state": "optimized geometry", "lattice": [[5.251, 0.000, 0.000], [0.000, 7.091, 0.000], [0.000, 0.000, 10.057]], "species": ["O", "O", "O", "O", "O", "O", "O", "O", "O", "O", "O", "O", "Pb", "Pb", "Pb", "Pb", "V", "V", "V", "V", "Cl", "Cl", "Cl", "Cl"], "fractional_positions": [[0.993, 0.387, 0.089], [0.993, 0.113, 0.589], [0.750, 0.735, 0.139], [0.250, 0.235, 0.361], [0.007, 0.613, 0.911], [0.493, 0.613, 0.911], [0.507, 0.113, 0.589], [0.493, 0.887, 0.411], [0.007, 0.887, 0.411], [0.750, 0.765, 0.639], [0.507, 0.387, 0.089], [0.250, 0.265, 0.861], [0.250, 0.602, 0.330], [0.750, 0.398, 0.670], [0.250, 0.898, 0.830], [0.750, 0.102, 0.170], [0.750, 0.569, 0.027], [0.250, 0.069, 0.473], [0.250, 0.431, 0.973], [0.750, 0.931, 0.527], [0.750, 0.054, 0.894], [0.250, 0.946, 0.106], [0.750, 0.446, 0.394], [0.250, 0.554, 0.606]], "vol_a3_per_cell": 374.4, "n_ef_per_ev_cell": 0.00, "dft_energy_ev_per_cell": -170.5, "m_tot_mub_per_atom": 0.00, "sg": "No. 62"}